(1)
A plane-wave DFT calculation with PBE-GGA was carried out for InHgAsRu2 after structural relaxation.

Unit cell a=4.6087 b=4.6087 c=5.1848 alpha=90.00 beta=90.00 gamma=90.00
Last column: nearest neighbours and their distance in Å.
Space group P4/mmm (No. 123)
One atom of each set of equivalent atoms:
1 In 0.0000 0.0000 0.0000 [1 per cell]  2 As 2.59
2 Hg 0.5000 0.5000 0.0000 [1 per cell]  4 In 3.26, 8 Ru 3.47
3 As 0.0000 0.0000 0.5000 [1 per cell]  4 Ru 2.30
4 Ru 0.0000 0.5000 0.5000 [2 per cell]  2 As 2.30

Output
- energy relative to the elements (eV per atom) = 0.8196

***

(2)
A plane-wave DFT calculation with PBE-GGA was carried out for InHgAsSe2 after structural relaxation.

Unit cell a=5.4146 b=5.4146 c=5.3404 alpha=90.00 beta=90.00 gamma=90.00
Last column: nearest neighbours and their distance in Å.
Space group P4/mmm (No. 123)
One atom of each set of equivalent atoms:
1 In 0.0000 0.0000 0.0000 [1 per cell]  8 Se 3.80, 4 As 3.83
2 Hg 0.5000 0.5000 0.5000 [1 per cell]  2 As 2.67, 4 Se 2.71
3 As 0.5000 0.5000 0.0000 [1 per cell]  2 Hg 2.67
4 Se 0.0000 0.5000 0.5000 [2 per cell]  2 Hg 2.71

Output
- energy relative to the lowest polymorph listed for this composition (eV/f.u.) = 0.00
- ΔE_f (raw) (eV per atom) = 0.565

***

(3)
A plane-wave DFT calculation with PBE-GGA was carried out for InSiHg2As after structural relaxation.

Unit cell a=5.4245 b=5.4245 c=4.9197 alpha=90.00 beta=90.00 gamma=90.00
Last column: nearest neighbours and their distance in Å.
Space group P4/mmm (No. 123)
One atom of each set of equivalent atoms:
1 In 0.0000 0.0000 0.0000 [1 per cell]  8 Hg 3.66, 4 Si 3.84
2 Si 0.5000 0.5000 0.0000 [1 per cell]  2 As 2.46
3 Hg 0.0000 0.5000 0.5000 [2 per cell]  2 As 2.71
4 As 0.5000 0.5000 0.5000 [1 per cell]  2 Si 2.46, 4 Hg 2.71

Output
- ΔE_f (raw) (eV per atom) = 0.517